No. 1
PBE NaNp2Sn9, relaxed; ΔE_f = -134 kJ/mol of formula units; magnetization = 8.25 μB per formula unit; volume = 307.06 Å³/f.u.; E_tot = -64.61 eV/cell
1.0
4.6591 0.0000 0.0000
0.0000 4.6591 0.0000
0.0000 0.0000 14.1457
Na Np Sn
1 2 9
Direct
0.0000 0.0000 0.0000
0.0000 0.0000 0.3395
0.0000 0.0000 0.6605
0.0000 0.5000 0.1678
0.0000 0.5000 0.5000
0.0000 0.5000 0.8322
0.5000 0.0000 0.1678
0.5000 0.0000 0.5000
0.5000 0.0000 0.8322
0.5000 0.5000 0.0000
0.5000 0.5000 0.3326
0.5000 0.5000 0.6674



No. 2
PBE AlNiPt2Se, relaxed; magnetization = 0.00 μB per formula unit; formation energy (no corrections) = 2.74 eV/f.u.; volume = 92.75 Å³/f.u.; E_tot = -22.35 eV/cell
1.0
4.6549 0.0000 0.0000
0.0000 4.6549 0.0000
0.0000 0.0000 4.2808
Al Ni Pt Se
1 1 2 1
Direct
0.0000 0.0000 0.0000
0.0000 0.0000 0.5000
0.0000 0.5000 0.5000
0.5000 0.0000 0.5000
0.5000 0.5000 0.0000



Q: Which value of volume does entry 2 give?
A: 92.75 Å³/f.u.